# 1
Crystalline KTlHg at its relaxed geometry. Source: Alexandria via LeMat-Bulk, functional PBE-GGA.

a = 5.4486 Å, b = 5.4486 Å, c = 3.8797 Å
α = 90.00°, β = 90.00°, γ = 120.00°
Space group P-6m2 (No. 187)
One atom of each set of equivalent atoms:
K: 0.0000 0.0000 0.0000
Tl: 0.6667 0.3333 0.5000
Hg: 0.3333 0.6667 0.5000

Results
energy above the most stable polymorph in this dataset = 30 meV/atom
energy relative to the elements = -0.170 eV/atom
total DFT energy (no corrections) = -4.275 eV per cell

# 2
Crystalline K3Tl8Hg at its relaxed geometry. Source: Alexandria via LeMat-Bulk, functional PBE-GGA.

a = 6.6810 Å, b = 6.6810 Å, c = 32.1974 Å
α = 90.00°, β = 90.00°, γ = 120.00°
Space group R3m (No. 160, hexagonal axes)
One atom of each set of equivalent atoms:
K: 0.0000 0.0000 0.0000
K: 0.0000 0.0000 0.1265
K: 0.0000 0.0000 0.5105
Tl: 0.0000 0.0000 0.3161
Tl: 0.0000 0.0000 0.8149
Tl: 0.9997 0.4998 0.0651
Tl: 0.1672 0.3344 0.8998
Hg: 0.0000 0.0000 0.6342

Results
energy above the most stable polymorph in this dataset = 17 meV/atom
energy relative to the elements = -0.055 eV/atom
total DFT energy (no corrections) = -69.537 eV per cell